VASP calculation (PBE) on a relaxed Ba8SiS3I4 crystal.

Cell and atoms, written as extended XYZ:
```
16
Lattice="-2.465 8.270 -3.797 -6.839 1.202 7.067 8.903 -1.481 2.616" Properties=species:S:1:pos:R:3 pbc="T T T"
S -4.652 4.736 1.635
I 3.219 3.395 -0.591
S 1.032 -0.139 4.841
Ba 2.048 1.770 2.488
Ba -2.448 6.222 3.397
Ba 3.246 1.351 6.648
Ba -3.646 6.642 -0.763
Ba 0.816 5.898 0.561
Ba 2.007 5.502 4.735
S -0.200 3.996 2.943
Ba -1.216 2.094 5.324
Ba -2.408 2.490 1.150
Si -3.419 0.601 3.533
I 4.452 -0.740 1.308
I -1.233 4.135 -1.898
I 0.000 0.000 0.000
```

Output
E_form (uncorrected)	-1.5648	eV per atom
V	39.81	Å³ per atom
total DFT energy (no corrections)	-4.027	eV per atom